# HoPuIn

Crystalline HoPuIn at its relaxed geometry (PBE, Alexandria via LeMat-Bulk).

a b c (Å): 3.3460 3.3460 14.6527
angles (deg): 90.00 90.00 90.00
Space group I4mm (No. 107)
Symmetry-distinct sites (fractional):
Ho (0.0000, 0.0000, 0.0000) x2
Pu (0.0000, 0.0000, 0.6829) x2
In (0.0000, 0.0000, 0.3431) x2

Values from the calculation:
Fermi-level density of states = 16.37 states/eV/cell
ΔE_f = -0.1141 eV/atom
polymorph energy (0 for the lowest one) = 113 meV/atom